# Dy2Y3Lu2Fe2Te2 (PBE, relaxed)
data_Dy2Y3Lu2Fe2Te2
_chemical_formula_sum 'Dy2 Y3 Lu2 Fe2 Te2'
_cell_length_a 9.3068
_cell_length_b 9.3068
_cell_length_c 9.3068
_cell_angle_alpha 155.88
_cell_angle_beta 65.54
_cell_angle_gamma 120.09
_space_group_name_H-M_alt 'P 1'
_space_group_IT_number 1
loop_
_space_group_symop_operation_xyz
'x,y,z'
loop_
_atom_site_label
_atom_site_fract_x
_atom_site_fract_y
_atom_site_fract_z
Y1 0.9776 0.4776 0.5000
Dy1 0.2554 0.8917 0.3637
Te1 0.2408 0.2408 0.0000
Dy2 0.5280 0.8917 0.6363
Lu1 0.9139 0.1004 0.8136
Fe1 0.1485 0.4117 0.7368
Y2 0.8907 0.7398 0.1509
Lu2 0.2868 0.1004 0.1864
Fe2 0.6749 0.4117 0.2632
Te2 0.6406 0.1406 0.5000
Y3 0.5889 0.7398 0.8491
# crystal system: orthorhombic
# calculated total energy: -66.109 eV/cell
# symmetry: Imm2, No. 44
# magnetic moment: 0.8 μB/cell

***

# Dy2Mg3Fe2 (PBE, relaxed)
data_Dy2Mg3Fe2
_chemical_formula_sum 'Dy2 Mg3 Fe2'
_cell_length_a 10.7261
_cell_length_b 10.7261
_cell_length_c 3.6876
_cell_angle_alpha 90.00
_cell_angle_beta 90.00
_cell_angle_gamma 158.89
_space_group_name_H-M_alt 'P 1'
_space_group_IT_number 1
loop_
_space_group_symop_operation_xyz
'x,y,z'
loop_
_atom_site_label
_atom_site_fract_x
_atom_site_fract_y
_atom_site_fract_z
Fe1 0.7193 0.2807 0.5000
Mg1 0.4203 0.5797 0.5000
Fe2 0.2807 0.7193 0.5000
Mg2 0.0000 0.0000 0.0000
Dy1 0.8262 0.1738 0.0000
Dy2 0.1738 0.8262 0.0000
Mg3 0.5797 0.4203 0.5000
# crystal system: orthorhombic
# calculated total energy: -30.650 eV/cell
# symmetry: Cmmm, No. 65
# magnetic moment: 2.7 μB/cell

***

# DyYMg3Fe2 (PBE, relaxed)
data_DyYMg3Fe2
_chemical_formula_sum 'Dy1 Y1 Mg3 Fe2'
_cell_length_a 3.6879
_cell_length_b 10.7403
_cell_length_c 10.7403
_cell_angle_alpha 21.07
_cell_angle_beta 90.00
_cell_angle_gamma 90.00
_space_group_name_H-M_alt 'P 1'
_space_group_IT_number 1
loop_
_space_group_symop_operation_xyz
'x,y,z'
loop_
_atom_site_label
_atom_site_fract_x
_atom_site_fract_y
_atom_site_fract_z
Mg1 0.0000 0.0000 0.0000
Fe1 0.5000 0.2803 0.2803
Fe2 0.5000 0.7187 0.7187
Mg2 0.5000 0.4206 0.4206
Dy1 0.0000 0.1737 0.1737
Y1 0.0000 0.8271 0.8271
Mg3 0.5000 0.5796 0.5796
# crystal system: orthorhombic
# calculated total energy: -32.497 eV/cell
# symmetry: Amm2, No. 38
# magnetic moment: 2.7 μB/cell

***

# DyFeMo (PBE, relaxed)
data_DyFeMo
_chemical_formula_sum 'Dy1 Fe1 Mo1'
_cell_length_a 4.3309
_cell_length_b 4.3309
_cell_length_c 4.3309
_cell_angle_alpha 60.00
_cell_angle_beta 60.00
_cell_angle_gamma 60.00
_space_group_name_H-M_alt 'P 1'
_space_group_IT_number 1
loop_
_space_group_symop_operation_xyz
'x,y,z'
loop_
_atom_site_label
_atom_site_fract_x
_atom_site_fract_y
_atom_site_fract_z
Dy1 0.2500 0.2500 0.2500
Fe1 0.0000 0.0000 0.0000
Mo1 0.7500 0.7500 0.7500
# crystal system: cubic
# calculated total energy: -22.127 eV/cell
# symmetry: F-43m, No. 216
# magnetic moment: 0.0 μB/cell

***

# Dy2Fe17N3 (PBE, relaxed)
data_Dy2Fe17N3
_chemical_formula_sum 'Dy4 Fe34 N6'
_cell_length_a 8.6104
_cell_length_b 8.6104
_cell_length_c 8.3594
_cell_angle_alpha 90.00
_cell_angle_beta 90.00
_cell_angle_gamma 120.00
_space_group_name_H-M_alt 'P 1'
_space_group_IT_number 1
loop_
_space_group_symop_operation_xyz
'x,y,z'
loop_
_atom_site_label
_atom_site_fract_x
_atom_site_fract_y
_atom_site_fract_z
Dy1 0.0000 0.0000 0.2500
Fe1 0.3333 0.6667 0.1083
Fe2 0.5000 0.0000 0.5000
N1 0.1640 0.3280 0.7500
Fe3 0.0000 0.5000 0.5000
Fe4 0.6185 0.6719 0.2500
N2 0.1640 0.8360 0.7500
N3 0.6720 0.8360 0.7500
Fe5 0.1693 0.3386 0.5201
Fe6 0.8307 0.1693 0.0201
Fe7 0.6614 0.8307 0.5201
Fe8 0.8307 0.6614 0.4799
Fe9 0.6719 0.6185 0.7500
Fe10 0.5000 0.5000 0.0000
Fe11 0.3815 0.3281 0.7500
N4 0.8360 0.6720 0.2500
Fe12 0.1693 0.3386 0.9799
Fe13 0.5000 0.5000 0.5000
Fe14 0.0534 0.6719 0.2500
Dy2 0.6667 0.3333 0.2500
Fe15 0.8307 0.6614 0.0201
Fe16 0.1693 0.8307 0.5201
N5 0.8360 0.1640 0.2500
Fe17 0.3386 0.1693 0.0201
Fe18 0.3333 0.6667 0.3917
Fe19 0.5000 0.0000 0.0000
Fe20 0.3386 0.1693 0.4799
Dy3 0.0000 0.0000 0.7500
Fe21 0.3281 0.9466 0.2500
Fe22 0.6614 0.8307 0.9799
Fe23 0.9466 0.3281 0.7500
N6 0.3280 0.1640 0.2500
Fe24 0.6667 0.3333 0.8917
Fe25 0.8307 0.1693 0.4799
Fe26 0.6719 0.0534 0.7500
Fe27 0.3281 0.3815 0.2500
Fe28 0.6667 0.3333 0.6083
Fe29 0.3815 0.0534 0.7500
Fe30 0.0000 0.5000 0.0000
Dy4 0.3333 0.6667 0.7500
Fe31 0.6185 0.9466 0.2500
Fe32 0.1693 0.8307 0.9799
Fe33 0.0534 0.3815 0.2500
Fe34 0.9466 0.6185 0.7500
# crystal system: hexagonal
# calculated total energy: -361.067 eV/cell
# symmetry: P6_3/mmc, No. 194
# magnetic moment: 78.2 μB/cell

***

# Dy2Fe17N3 (PBE, relaxed)
data_Dy2Fe17N3
_chemical_formula_sum 'Dy2 Fe17 N3'
_cell_length_a 6.4924
_cell_length_b 6.4924
_cell_length_c 6.4924
_cell_angle_alpha 97.01
_cell_angle_beta 82.99
_cell_angle_gamma 97.01
_space_group_name_H-M_alt 'P 1'
_space_group_IT_number 1
loop_
_space_group_symop_operation_xyz
'x,y,z'
loop_
_atom_site_label
_atom_site_fract_x
_atom_site_fract_y
_atom_site_fract_z
N1 0.0000 0.5000 0.5000
Fe1 0.7179 0.7179 0.0000
Dy1 0.3417 0.6583 0.3417
Fe2 0.0000 0.0000 0.5000
N2 0.5000 0.5000 0.0000
Fe3 0.6570 0.8557 0.6570
Fe4 0.3430 0.1443 0.3430
Fe5 0.0000 0.7179 0.7179
Fe6 0.6570 0.3430 0.1443
Fe7 0.3430 0.6570 0.8557
Fe8 0.0000 0.2821 0.2821
Fe9 0.5000 0.0000 0.0000
Fe10 0.7179 0.0000 0.2821
Dy2 0.6583 0.3417 0.6583
Fe11 0.0000 0.5000 0.0000
Fe12 0.2821 0.2821 0.0000
Fe13 0.9054 0.0946 0.9054
N3 0.5000 0.0000 0.5000
Fe14 0.0946 0.9054 0.0946
Fe15 0.1443 0.3430 0.6570
Fe16 0.2821 0.0000 0.7179
Fe17 0.8557 0.6570 0.3430
# crystal system: trigonal
# calculated total energy: -180.558 eV/cell
# symmetry: R-3m, No. 166
# magnetic moment: 37.8 μB/cell

***

# NaDyFeS3 (PBE, relaxed)
data_NaDyFeS3
_chemical_formula_sum 'Na4 Dy4 Fe4 S12'
_cell_length_a 3.9831
_cell_length_b 10.7726
_cell_length_c 11.3910
_cell_angle_alpha 90.00
_cell_angle_beta 90.00
_cell_angle_gamma 90.00
_space_group_name_H-M_alt 'P 1'
_space_group_IT_number 1
loop_
_space_group_symop_operation_xyz
'x,y,z'
loop_
_atom_site_label
_atom_site_fract_x
_atom_site_fract_y
_atom_site_fract_z
S1 0.2500 0.3914 0.9391
Fe1 0.2500 0.2537 0.7873
Na1 0.2500 0.3350 0.5042
S2 0.7500 0.7831 0.8116
S3 0.2500 0.7169 0.3116
Fe2 0.2500 0.7537 0.7127
Dy1 0.2500 0.9827 0.3214
Na2 0.7500 0.1650 0.0042
S4 0.7500 0.6086 0.0609
Na3 0.2500 0.8350 0.9958
S5 0.7500 0.4466 0.3452
S6 0.2500 0.8914 0.5609
S7 0.7500 0.2831 0.6884
S8 0.7500 0.9466 0.1548
S9 0.2500 0.5534 0.6548
Dy2 0.2500 0.4827 0.1786
Dy3 0.7500 0.0173 0.6786
Fe3 0.7500 0.2463 0.2873
S10 0.2500 0.2169 0.1884
S11 0.7500 0.1086 0.4391
Dy4 0.7500 0.5173 0.8214
S12 0.2500 0.0534 0.8452
Fe4 0.7500 0.7463 0.2127
Na4 0.7500 0.6650 0.4958
# crystal system: orthorhombic
# energy relative to the lowest polymorph listed for this composition: 0.0366 eV per atom
# calculated total energy: -136.224 eV/cell
# symmetry: Pnma, No. 62
# magnetic moment: 16.0 μB/cell

***

# NaDyFeS3 (PBE, relaxed)
data_NaDyFeS3
_chemical_formula_sum 'Na2 Dy2 Fe2 S6'
_cell_length_a 7.9235
_cell_length_b 3.8690
_cell_length_c 9.2186
_cell_angle_alpha 90.00
_cell_angle_beta 103.39
_cell_angle_gamma 90.00
_space_group_name_H-M_alt 'P 1'
_space_group_IT_number 1
loop_
_space_group_symop_operation_xyz
'x,y,z'
loop_
_atom_site_label
_atom_site_fract_x
_atom_site_fract_y
_atom_site_fract_z
Na1 0.2097 0.2500 0.2389
Na2 0.7903 0.7500 0.7611
Fe1 0.0731 0.2500 0.5892
S1 0.9201 0.7500 0.1622
Fe2 0.9269 0.7500 0.4108
S2 0.7809 0.2500 0.4645
Dy1 0.6733 0.2500 0.1485
S3 0.5657 0.2500 0.8470
S4 0.0799 0.2500 0.8378
Dy2 0.3267 0.7500 0.8515
S5 0.4343 0.7500 0.1530
S6 0.2191 0.7500 0.5355
# crystal system: monoclinic
# energy relative to the lowest polymorph listed for this composition: 0.0000 eV per atom
# calculated total energy: -68.551 eV/cell
# symmetry: P2_1/m, No. 11
# magnetic moment: 7.6 μB/cell